SmHoSnAu | GGA-PBE | optimized geometry

The structure in CIF format:
```
data_SmHoSnAu
_chemical_formula_sum 'Sm4 Ho4 Sn4 Au4'
_space_group_name_H-M_alt 'F -4 3 m'
_space_group_IT_number 216
_space_group_name_Hall 'F -4 2 3'
_cell_length_a 7.4402
_cell_length_b 7.4402
_cell_length_c 7.4402
_cell_angle_alpha 90.00
_cell_angle_beta 90.00
_cell_angle_gamma 90.00
loop_
_atom_site_label
_atom_site_type_symbol
_atom_site_fract_x
_atom_site_fract_y
_atom_site_fract_z
_atom_site_occupancy
Sm1 Sm 0.0000 0.0000 0.0000 1
Ho1 Ho 0.0000 0.0000 0.5000 1
Sn1 Sn 0.2500 0.2500 0.2500 1
Au1 Au 0.2500 0.2500 0.7500 1
```

Output
energy of formation = -0.710 eV/atom
VASP energy = -77.66 eV/cell


CuAg6Au2 | GGA-PBE | optimized geometry

The structure in CIF format:
```
data_CuAg6Au2
_chemical_formula_sum 'Cu2 Ag12 Au4'
_space_group_name_H-M_alt 'P -1'
_space_group_IT_number 2
_space_group_name_Hall '-P 1'
_cell_length_a 5.0043
_cell_length_b 7.6904
_cell_length_c 8.8941
_cell_angle_alpha 106.90
_cell_angle_beta 105.19
_cell_angle_gamma 90.04
loop_
_atom_site_label
_atom_site_type_symbol
_atom_site_fract_x
_atom_site_fract_y
_atom_site_fract_z
_atom_site_occupancy
Cu1 Cu 0.2147 0.1343 0.1131 1
Ag1 Ag 0.1059 0.1956 0.5535 1
Ag2 Ag 0.1141 0.3563 0.8952 1
Ag3 Ag 0.2199 0.9783 0.7885 1
Ag4 Ag 0.3312 0.7601 0.9977 1
Ag5 Ag 0.3375 0.9179 0.3318 1
Ag6 Ag 0.4482 0.5296 0.2208 1
Au1 Au 0.0079 0.4132 0.3260 1
Au2 Au 0.4473 0.7012 0.5670 1
```

Output
energy of formation = 0.028 eV/atom
VASP energy = -55.01 eV/cell
polymorph energy (0 for the lowest one) = 0.0 meV/atom


> Which formula does entry 1 have?

SmHoSnAu


> Which value of energy of formation does entry 1 give?

-0.710 eV/atom


> Which of these has the highest energy of formation?

CuAg6Au2